SCAN KLi2Ta, PBEsol geometry; space group = No. 119; distance to the lowest polymorph of the same formula = 0.75 eV/f.u.; final energy = -74.56 eV for the cell shown; ΔH_f (0 K) = 5.1 eV/f.u.; ρ = 4.10 g/cm³
1.0
-2.0938 2.0938 5.3992
2.0938 -2.0938 5.3992
2.0938 2.0938 -5.3992
K Li Ta
1 2 1
direct
0.0000 0.0000 0.0000
0.5000 0.5000 0.0000
0.7500 0.2500 0.5000
0.2500 0.7500 0.5000

---

SCAN Mg16Al12Sb, PBEsol geometry; space group = No. 160; raw formation energy = -0.015 eV per atom; final energy = -210.28 eV for the cell shown; ρ = 2.40 g/cm³
1.0
7.3938 4.2688 3.0490
-7.3938 4.2688 3.0490
0.0000 -8.5376 3.0490
Mg Al Sb
16 12 1
direct
0.0000 0.0000 0.0000
0.0006 0.4035 0.6823
0.0006 0.6823 0.4035
0.0028 0.0028 0.6545
0.0028 0.6545 0.0028
0.2917 0.5999 0.5999
0.3169 0.3169 0.7150
0.3169 0.7150 0.3169
0.4035 0.0006 0.6823
0.4035 0.6823 0.0006
0.5999 0.2917 0.5999
0.5999 0.5999 0.2917
0.6545 0.0028 0.0028
0.6823 0.0006 0.4035
0.6823 0.4035 0.0006
0.7150 0.3169 0.3169
0.1836 0.3687 0.9948
0.1836 0.9948 0.3687
0.1871 0.8175 0.8175
0.3687 0.1836 0.9948
0.3687 0.9948 0.1836
0.6396 0.6396 0.8268
0.6396 0.8268 0.6396
0.8175 0.1871 0.8175
0.8175 0.8175 0.1871
0.8268 0.6396 0.6396
0.9948 0.1836 0.3687
0.9948 0.3687 0.1836
0.3310 0.3310 0.3310

---

SCAN K2ScPt, PBEsol geometry; space group = No. 71; distance to the lowest polymorph of the same formula = 0.00 eV/f.u.; final energy = -102.48 eV for the cell shown; ΔH_f (0 K) = -1.4 eV/f.u.; ρ = 3.76 g/cm³
1.0
-1.7596 1.9740 10.1292
1.7596 -1.9740 10.1292
1.7596 1.9740 -10.1292
K Sc Pt
2 1 1
direct
0.1504 0.1504 0.0000
0.8496 0.8496 0.0000
0.5000 0.0000 0.5000
0.0000 0.5000 0.5000

---

SCAN CaPrV2O6, PBEsol geometry; space group = No. 31; raw formation energy = -3.157 eV per atom; final energy = -313.84 eV for the cell shown; ρ = 5.70 g/cm³
1.0
7.5910 0.0000 0.0000
0.0000 5.4243 0.0000
0.0000 0.0000 5.3630
Ca Pr V O
2 2 4 12
direct
0.0000 0.2097 0.0000
0.5000 0.7903 0.5000
0.0000 0.7136 0.4841
0.5000 0.2864 0.9841
0.2495 0.2484 0.4916
0.2505 0.7516 0.9916
0.7505 0.2484 0.4916
0.7495 0.7516 0.9916
0.0000 0.2611 0.5645
0.0000 0.7645 0.9253
0.2115 0.4641 0.2043
0.2150 0.9672 0.2748
0.2850 0.0328 0.7748
0.2885 0.5359 0.7043
0.5000 0.2355 0.4253
0.5000 0.7389 0.0645
0.7115 0.5359 0.7043
0.7150 0.0328 0.7748
0.7850 0.9672 0.2748
0.7885 0.4641 0.2043

---

SCAN Zr2CdAg, PBEsol geometry; space group = No. 65; final energy = -123.59 eV for the cell shown; ΔH_f (0 K) = -0.4 eV/f.u.; ρ = 8.53 g/cm³
1.0
2.9767 -4.3811 0.0000
2.9767 4.3811 0.0000
0.0000 0.0000 3.0053
Zr Cd Ag
2 1 1
direct
0.0000 0.5000 0.0000
0.5000 0.0000 0.0000
0.0000 0.0000 0.5000
0.5000 0.5000 0.5000

---

SCAN MnMoSe2, PBEsol geometry; space group = No. 99; distance to the lowest polymorph of the same formula = 1.53 eV/f.u.; raw formation energy = -0.017 eV per atom; final energy = -93.36 eV for the cell shown; ρ = 7.77 g/cm³
1.0
2.9405 0.0000 0.0000
0.0000 2.9405 0.0000
0.0000 0.0000 7.6340
Mn Mo Se
1 1 2
direct
0.0000 0.0000 0.0000
0.5000 0.5000 0.2342
0.0000 0.0000 0.4312
0.5000 0.5000 0.8404

---

SCAN NaNdH2S2O9, PBEsol geometry; space group = No. 152; final energy = -484.02 eV for the cell shown; ρ = 3.51 g/cm³
1.0
6.9424 0.0000 0.0000
-3.4712 6.0123 0.0000
0.0000 0.0000 12.8391
Na Nd H S O
3 3 6 6 27
direct
0.0000 0.4727 0.1667
0.4727 0.0000 0.8333
0.5273 0.5273 0.5000
0.0000 0.4330 0.6667
0.4330 0.0000 0.3333
0.5670 0.5670 0.0000
0.0455 0.1023 0.3710
0.0568 0.9545 0.0376
0.1023 0.0455 0.6290
0.8977 0.9432 0.7043
0.9432 0.8977 0.2957
0.9545 0.0568 0.9624
0.0130 0.4541 0.9093
0.4410 0.9870 0.5760
0.4541 0.0130 0.0907
0.5459 0.5590 0.2426
0.5590 0.5459 0.7574
0.9870 0.4410 0.4240
0.0000 0.0797 0.6667
0.0797 0.0000 0.3333
0.1215 0.6193 0.3487
0.1306 0.3881 0.4907
0.1347 0.6431 0.8361
0.1675 0.4080 0.9696
0.2405 0.8325 0.6363
0.2574 0.8694 0.1574
0.3569 0.4916 0.1694
0.3807 0.5021 0.6820
0.3881 0.1306 0.5093
0.4080 0.1675 0.0304
0.4916 0.3569 0.8306
0.4979 0.8785 0.0154
0.5021 0.3807 0.3180
0.5084 0.8653 0.5028
0.5920 0.7595 0.3030
0.6119 0.7426 0.8240
0.6193 0.1215 0.6513
0.6431 0.1347 0.1639
0.7426 0.6119 0.1760
0.7595 0.5920 0.6970
0.8325 0.2405 0.3637
0.8653 0.5084 0.4972
0.8694 0.2574 0.8426
0.8785 0.4979 0.9846
0.9203 0.9203 0.0000

---

SCAN BeFeAg, PBEsol geometry; space group = No. 156; distance to the lowest polymorph of the same formula = 0.52 eV/f.u.; final energy = -52.96 eV for the cell shown; ΔH_f (0 K) = 0.9 eV/f.u.; ρ = 7.82 g/cm³
1.0
4.0320 0.0000 0.0000
-2.0160 3.4918 0.0000
0.0000 0.0000 2.6055
Be Fe Ag
1 1 1
direct
0.0000 0.0000 0.0000
0.6667 0.3333 0.3356
0.3333 0.6667 0.7764

---

SCAN K2ScReSi, PBEsol geometry; space group = No. 123; raw formation energy = 1.773 eV per atom; final energy = -103.14 eV for the cell shown; ρ = 3.46 g/cm³
1.0
5.9545 0.0000 0.0000
0.0000 5.9545 0.0000
0.0000 0.0000 4.5619
K Sc Re Si
2 1 1 1
direct
0.0000 0.5000 0.0000
0.5000 0.0000 0.0000
0.0000 0.0000 0.0000
0.0000 0.0000 0.5000
0.5000 0.5000 0.5000

---

SCAN Mo2RuPt, PBEsol geometry; space group = No. 25; distance to the lowest polymorph of the same formula = 0.22 eV/f.u.; final energy = -175.63 eV for the cell shown; ΔH_f (0 K) = -0.8 eV/f.u.; ρ = 13.95 g/cm³
1.0
2.7413 0.0000 0.0000
0.0000 4.4147 0.0000
0.0000 0.0000 4.8015
Mo Ru Pt
2 1 1
direct
0.0000 0.0000 0.0000
0.0000 0.5000 0.3379
0.5000 0.0000 0.4910
0.5000 0.5000 0.8383

---

SCAN SbCF2, PBEsol geometry; space group = No. 225; raw formation energy = 0.463 eV per atom; final energy = -52.59 eV for the cell shown; ρ = 5.84 g/cm³
1.0
0.0000 2.9010 2.9010
2.9010 0.0000 2.9010
2.9010 2.9010 0.0000
Sb C F
1 1 2
direct
0.0000 0.0000 0.0000
0.5000 0.5000 0.5000
0.2500 0.2500 0.2500
0.7500 0.7500 0.7500

---

SCAN Mn2TlPb, PBEsol geometry; space group = No. 139; final energy = -183.86 eV for the cell shown; ΔH_f (0 K) = 0.8 eV/f.u.; ρ = 11.20 g/cm³
1.0
-2.2210 2.2210 3.9164
2.2210 -2.2210 3.9164
2.2210 2.2210 -3.9164
Mn Tl Pb
2 1 1
direct
0.2500 0.7500 0.5000
0.7500 0.2500 0.5000
0.0000 0.0000 0.0000
0.5000 0.5000 0.0000

---

no.,V (A^3/atom)
1,23.7
2,19.9
3,35.2
4,11.0
5,19.6
6,16.5
7,11.9
8,12.2
9,32.3
10,14.5
11,12.2
12,19.3